Entry 1:
Computed, not measured: ZnInGaTeS3 after structural relaxation at the PBE-GGA level of DFT.

Results
space group = No. 1

Cell: 5.7219 5.7303 6.6222 Å, 112.96 112.86 92.47°
Fractional positions:
Zn  0.0000  0.0000  0.0000
In  0.4850  0.5228  0.0073
Ga  0.2635  0.7870  0.5230
Te  0.8794  0.3766  0.3081
S  0.1173  0.1203  0.7426
S  0.3621  0.9048  0.2635
S  0.6160  0.6589  0.7418

Entry 2:
Computed, not measured: ZnInGaTeSe3 after structural relaxation at the PBE-GGA level of DFT.

Results
space group = No. 1

Cell: 5.9001 5.9112 6.9703 Å, 113.97 113.81 91.25°
Fractional positions:
Zn  0.0000  0.0000  0.0000
In  0.4856  0.5175  0.0022
Ga  0.2579  0.7756  0.5137
Te  0.8786  0.3729  0.2944
Se  0.0927  0.1206  0.7293
Se  0.3828  0.9221  0.2778
Se  0.6239  0.6306  0.7284

Entry 3:
Computed, not measured: ZnInGaTe2Se2 after structural relaxation at the PBE-GGA level of DFT.

Results
space group = No. 5

Cell: 7.1380 7.1380 6.0181 Å, 113.83 113.83 108.54°
Fractional positions:
Zn  0.0000  0.0000  0.0000
In  0.4973  0.5027  0.0000
Ga  0.2353  0.7647  0.5000
Te  0.0720  0.3634  0.4778
Te  0.6366  0.9280  0.5222
Se  0.3689  0.1071  0.9949
Se  0.8929  0.6311  0.0051

Entry 4:
Computed, not measured: ZnInGaTe2Se2 after structural relaxation at the PBE-GGA level of DFT.

Results
space group = No. 1

Cell: 5.9850 6.0330 7.1394 Å, 113.68 114.67 90.02°
Fractional positions:
Zn  0.0000  0.0000  0.0000
In  0.5000  0.4676  0.0038
Ga  0.7287  0.2316  0.5020
Te  0.1079  0.6158  0.7185
Te  0.9128  0.8709  0.2841
Se  0.3631  0.3585  0.2698
Se  0.6174  0.0858  0.7357

Entry 5:
Computed, not measured: Sm4In2Ga after structural relaxation at the PBE-GGA level of DFT.

Results
size of the total moment = 0.010 Bohr magnetons per cell
space group = No. 65

Cell: 7.9463 7.9463 3.7037 Å, 90.00 90.00 101.31°
Fractional positions:
Sm  0.2366  0.7634  0.0000
Sm  0.2520  0.2520  0.5000
Sm  0.7480  0.7480  0.5000
Sm  0.7634  0.2366  0.0000
In  0.0000  0.5000  0.5000
In  0.5000  0.0000  0.5000
Ga  0.5000  0.5000  0.0000

Entry 6:
Computed, not measured: Sm2InGa2 after structural relaxation at the PBE-GGA level of DFT.

Results
size of the total moment = 0.003 Bohr magnetons per cell
space group = No. 127

Cell: 7.3595 7.3595 4.4938 Å, 90.00 90.00 90.00°
Fractional positions:
Sm  0.1734  0.3266  0.0000
Sm  0.3266  0.8266  0.0000
Sm  0.6734  0.1734  0.0000
Sm  0.8266  0.6734  0.0000
In  0.0000  0.0000  0.5000
In  0.5000  0.5000  0.5000
Ga  0.1245  0.6245  0.5000
Ga  0.3755  0.1245  0.5000
Ga  0.6245  0.8755  0.5000
Ga  0.8755  0.3755  0.5000

Entry 7:
Computed, not measured: SmInGaTe3 after structural relaxation at the PBE-GGA level of DFT.

Results
size of the total moment = 0.034 Bohr magnetons per cell
space group = No. 63

Cell: 7.6377 7.6377 11.6830 Å, 90.00 90.00 143.57°
Fractional positions:
Sm  0.0000  0.0000  0.0000
Sm  0.0000  0.0000  0.5000
In  0.2441  0.7559  0.7500
In  0.7559  0.2441  0.2500
Ga  0.4810  0.5190  0.2500
Ga  0.5190  0.4810  0.7500
Te  0.0821  0.9179  0.2500
Te  0.3616  0.6384  0.0644
Te  0.3616  0.6384  0.4356
Te  0.6384  0.3616  0.5644
Te  0.6384  0.3616  0.9356
Te  0.9179  0.0821  0.7500

Entry 8:
Computed, not measured: TbInGa2 after structural relaxation at the PBE-GGA level of DFT.

Results
size of the total moment = 0.002 Bohr magnetons per cell
ΔE to the lowest computed polymorph = 0 meV/atom
space group = No. 38

Cell: 4.7590 6.5140 6.5140 Å, 58.66 90.00 90.00°
Fractional positions:
Tb  0.0000  0.0000  0.0000
Tb  0.5000  0.3507  0.3507
In  0.0000  0.5057  0.9843
In  0.0000  0.9843  0.5057
Ga  0.0000  0.5200  0.5200
Ga  0.5000  0.3727  0.8181
Ga  0.5000  0.8181  0.3727
Ga  0.5000  0.8222  0.8222

Entry 9:
Computed, not measured: Tb2In5Ga after structural relaxation at the PBE-GGA level of DFT.

Results
size of the total moment = 0.001 Bohr magnetons per cell
space group = No. 38

Cell: 5.1377 6.6625 6.6625 Å, 58.66 90.00 90.00°
Fractional positions:
Tb  0.0000  0.0000  0.0000
Tb  0.5000  0.3439  0.3439
In  0.0000  0.5133  0.5133
In  0.0000  0.5152  0.9931
In  0.0000  0.9931  0.5152
In  0.5000  0.3551  0.8402
In  0.5000  0.8402  0.3551
Ga  0.5000  0.8332  0.8332

Entry 10:
Computed, not measured: TbIn2Ga after structural relaxation at the PBE-GGA level of DFT.

Results
size of the total moment = 0.002 Bohr magnetons per cell
space group = No. 38

Cell: 4.9711 6.5912 6.5912 Å, 60.56 90.00 90.00°
Fractional positions:
Tb  0.0000  0.0000  0.0000
Tb  0.5000  0.3269  0.3269
In  0.0000  0.5089  0.5089
In  0.5000  0.3475  0.8268
In  0.5000  0.8218  0.8218
In  0.5000  0.8268  0.3475
Ga  0.0000  0.5150  0.9778
Ga  0.0000  0.9778  0.5150

Entry 11:
Computed, not measured: Tb5InGa2 after structural relaxation at the PBE-GGA level of DFT.

Results
size of the total moment = 0.019 Bohr magnetons per cell
space group = No. 140

Cell: 9.0721 9.0721 9.0721 Å, 129.25 129.25 74.61°
Fractional positions:
Tb  0.0000  0.0000  0.0000
Tb  0.0240  0.5240  0.8359
Tb  0.1881  0.0240  0.5000
Tb  0.3119  0.8119  0.8359
Tb  0.4760  0.3119  0.5000
Tb  0.5000  0.5000  0.0000
Tb  0.5240  0.6881  0.5000
Tb  0.6881  0.1881  0.1641
Tb  0.8119  0.9760  0.5000
Tb  0.9760  0.4760  0.1641
In  0.2500  0.2500  0.0000
In  0.7500  0.7500  0.0000
Ga  0.1232  0.3768  0.5000
Ga  0.3768  0.8768  0.2535
Ga  0.6232  0.1232  0.7465
Ga  0.8768  0.6232  0.5000

Entry 12:
Computed, not measured: Tb2In3Ga3 after structural relaxation at the PBE-GGA level of DFT.

Results
size of the total moment = 0.002 Bohr magnetons per cell
space group = No. 187

Cell: 6.5365 6.5365 4.8682 Å, 90.00 90.00 120.00°
Fractional positions:
Tb  0.0000  0.0000  0.0000
Tb  0.3333  0.6667  0.5000
In  0.5093  0.0186  0.0000
In  0.5093  0.4907  0.0000
In  0.9814  0.4907  0.0000
Ga  0.3650  0.1825  0.5000
Ga  0.8175  0.1825  0.5000
Ga  0.8175  0.6350  0.5000

Entry 13:
Computed, not measured: TbInGa2 after structural relaxation at the PBE-GGA level of DFT.

Results
size of the total moment = 0.003 Bohr magnetons per cell
ΔE to the lowest computed polymorph = 4 meV/atom
space group = No. 40

Cell: 4.7678 6.4773 6.4773 Å, 120.31 90.00 90.00°
Fractional positions:
Tb  0.2500  0.1690  0.8310
Tb  0.7500  0.8310  0.1690
In  0.2500  0.1985  0.3583
In  0.7500  0.3583  0.1985
Ga  0.2500  0.6647  0.8090
Ga  0.2500  0.6716  0.3653
Ga  0.7500  0.3653  0.6716
Ga  0.7500  0.8090  0.6647

Entry 14:
Computed, not measured: Tb2Zn2InGa after structural relaxation at the PBE-GGA level of DFT.

Results
size of the total moment = 0.127 Bohr magnetons per cell
space group = No. 187

Cell: 4.5510 4.5510 7.2709 Å, 90.00 90.00 120.00°
Fractional positions:
Tb  0.0000  0.0000  0.2426
Tb  0.0000  0.0000  0.7574
Zn  0.3333  0.6667  0.5000
Zn  0.6667  0.3333  0.0000
In  0.6667  0.3333  0.5000
Ga  0.3333  0.6667  0.0000

Entry 15:
Computed, not measured: InGa2Tc after structural relaxation at the PBE-GGA level of DFT.

Results
size of the total moment = 0.359 Bohr magnetons per cell
space group = No. 216

Cell: 4.6334 4.6334 4.6334 Å, 60.00 60.00 60.00°
Fractional positions:
In  0.0000  0.0000  0.0000
Ga  0.2500  0.2500  0.2500
Ga  0.5000  0.5000  0.5000
Tc  0.7500  0.7500  0.7500

Entry 16:
Computed, not measured: In2Ga2Tc after structural relaxation at the PBE-GGA level of DFT.

Results
size of the total moment = 2.339 Bohr magnetons per cell
space group = No. 139

Cell: 7.3433 7.3433 7.3433 Å, 148.56 148.56 45.06°
Fractional positions:
In  0.2500  0.7500  0.5000
In  0.7500  0.2500  0.5000
Ga  0.0883  0.0883  0.0000
Ga  0.9117  0.9117  0.0000
Tc  0.5000  0.5000  0.0000

Entry 17:
Computed, not measured: In2GaTc after structural relaxation at the PBE-GGA level of DFT.

Results
size of the total moment = 0.310 Bohr magnetons per cell
space group = No. 216

Cell: 4.7674 4.7674 4.7674 Å, 60.00 60.00 60.00°
Fractional positions:
In  0.0000  0.0000  0.0000
In  0.2500  0.2500  0.2500
Ga  0.5000  0.5000  0.5000
Tc  0.7500  0.7500  0.7500

Entry 18:
Computed, not measured: TmInGaTe3 after structural relaxation at the PBE-GGA level of DFT.

Results
size of the total moment = 0.010 Bohr magnetons per cell
ΔE to the lowest computed polymorph = 0 meV/atom
space group = No. 62

Cell: 14.6549 4.3566 12.4813 Å, 90.00 90.00 90.00°
Fractional positions:
Tm  0.0265  0.2500  0.1416
Tm  0.4735  0.7500  0.6416
Tm  0.5265  0.2500  0.3584
Tm  0.9735  0.7500  0.8584
In  0.2328  0.2500  0.4848
In  0.2672  0.7500  0.9848
In  0.7328  0.2500  0.0152
In  0.7672  0.7500  0.5152
Ga  0.0424  0.7500  0.3995
Ga  0.4576  0.2500  0.8995
Ga  0.5424  0.7500  0.1005
Ga  0.9576  0.2500  0.6005
Te  0.0754  0.7500  0.6361
Te  0.1118  0.2500  0.9221
Te  0.1555  0.7500  0.2207
Te  0.3445  0.2500  0.7207
Te  0.3882  0.7500  0.4221
Te  0.4246  0.2500  0.1361
Te  0.5754  0.7500  0.8639
Te  0.6118  0.2500  0.5779
Te  0.6555  0.7500  0.2793
Te  0.8445  0.2500  0.7793
Te  0.8882  0.7500  0.0779
Te  0.9246  0.2500  0.3639

Entry 19:
Computed, not measured: TmInGaTe3 after structural relaxation at the PBE-GGA level of DFT.

Results
size of the total moment = 0.008 Bohr magnetons per cell
ΔE to the lowest computed polymorph = 24 meV/atom
space group = No. 63

Cell: 7.8179 7.8179 11.4047 Å, 90.00 90.00 146.64°
Fractional positions:
Tm  0.0000  0.0000  0.0000
Tm  0.0000  0.0000  0.5000
In  0.2470  0.7530  0.7500
In  0.7530  0.2470  0.2500
Ga  0.4643  0.5357  0.2500
Ga  0.5357  0.4643  0.7500
Te  0.0792  0.9208  0.2500
Te  0.3624  0.6376  0.0483
Te  0.3624  0.6376  0.4517
Te  0.6376  0.3624  0.5483
Te  0.6376  0.3624  0.9517
Te  0.9208  0.0792  0.7500

Entry 20:
Computed, not measured: ZnInGaTe4 after structural relaxation at the PBE-GGA level of DFT.

Results
space group = No. 82

Cell: 7.4944 7.4944 7.4944 Å, 131.12 131.12 71.62°
Fractional positions:
Zn  0.0000  0.0000  0.0000
In  0.5000  0.5000  0.0000
Ga  0.7500  0.2500  0.5000
Te  0.1140  0.0874  0.4778
Te  0.3638  0.8860  0.9734
Te  0.6096  0.6362  0.5222
Te  0.9126  0.3903  0.0266

Entry 21:
Computed, not measured: Th2InGa2 after structural relaxation at the PBE-GGA level of DFT.

Results
size of the total moment = 0.010 Bohr magnetons per cell
space group = No. 127

Cell: 7.4403 7.4403 4.5164 Å, 90.00 90.00 90.00°
Fractional positions:
Th  0.1751  0.3249  0.0000
Th  0.3249  0.8249  0.0000
Th  0.6751  0.1751  0.0000
Th  0.8249  0.6751  0.0000
In  0.0000  0.0000  0.5000
In  0.5000  0.5000  0.5000
Ga  0.1230  0.6230  0.5000
Ga  0.3770  0.1230  0.5000
Ga  0.6230  0.8770  0.5000
Ga  0.8770  0.3770  0.5000

Entry 22:
Computed, not measured: Tm5InGa2 after structural relaxation at the PBE-GGA level of DFT.

Results
size of the total moment = 0.000 Bohr magnetons per cell
space group = No. 140

Cell: 8.8725 8.8725 8.8725 Å, 128.95 128.95 75.09°
Fractional positions:
Tm  0.0000  0.0000  0.0000
Tm  0.0214  0.5214  0.8310
Tm  0.1904  0.0214  0.5000
Tm  0.3096  0.8096  0.8310
Tm  0.4786  0.3096  0.5000
Tm  0.5000  0.5000  0.0000
Tm  0.5214  0.6904  0.5000
Tm  0.6904  0.1904  0.1690
Tm  0.8096  0.9786  0.5000
Tm  0.9786  0.4786  0.1690
In  0.2500  0.2500  0.0000
In  0.7500  0.7500  0.0000
Ga  0.1259  0.3741  0.5000
Ga  0.3741  0.8741  0.2482
Ga  0.6259  0.1259  0.7518
Ga  0.8741  0.6259  0.5000

Entry 23:
Computed, not measured: Tm2InGa2 after structural relaxation at the PBE-GGA level of DFT.

Results
size of the total moment = 0.012 Bohr magnetons per cell
space group = No. 127

Cell: 7.1731 7.1731 4.3370 Å, 90.00 90.00 90.00°
Fractional positions:
Tm  0.1719  0.3281  0.0000
Tm  0.3281  0.8281  0.0000
Tm  0.6719  0.1719  0.0000
Tm  0.8281  0.6719  0.0000
In  0.0000  0.0000  0.5000
In  0.5000  0.5000  0.5000
Ga  0.1257  0.6257  0.5000
Ga  0.3743  0.1257  0.5000
Ga  0.6257  0.8743  0.5000
Ga  0.8743  0.3743  0.5000

Uncorrected energy? In order: -3.81; -3.50; -3.39; -3.39; -4.03; -4.27; -3.97; -3.80; -3.62; -3.66; -4.46; -3.72; -3.79; -3.41; -4.36; -3.66; -4.20; -3.92; -3.90; -3.18; -5.25; -4.37; -4.14 eV/atom.
Calculated density? In order: 4.39; 5.15; 5.24; 5.24; 6.52; 7.57; 5.89; 7.96; 8.20; 8.09; 7.98; 8.03; 7.95; 8.06; 8.32; 7.22; 8.61; 6.14; 6.38; 5.40; 9.54; 8.87; 8.81 g/cm3.
V? In order: 179.3; 198.1; 209.9; 210.1; 229.3; 243.4; 404.7; 172.5; 194.8; 188.1; 436.3; 180.1; 172.7; 130.4; 70.3; 107.4; 76.6; 796.9; 383.3; 233.7; 250.0; 411.3; 223.2 Å³/cell.